{"formula": "TaMo2Se4S2", "functional": "PBE", "state": "relaxed", "cell": [[3.3321, 0.0000, 0.0000], [-1.6660, 2.8857, 0.0000], [0.0000, 0.0000, 21.3840]], "species": ["Ta", "Mo", "Mo", "Se", "Se", "Se", "Se", "S", "S"], "fractional_positions": [[0.0000, 0.0000, 0.0000], [0.0000, 0.0000, 0.6539], [0.6667, 0.3333, 0.3220], [0.0000, 0.0000, 0.2438], [0.0000, 0.0000, 0.4001], [0.6667, 0.3333, 0.5758], [0.6667, 0.3333, 0.7321], [0.6667, 0.3333, 0.0732], [0.6667, 0.3333, 0.9268]], "magmom_total_mub_per_cell": 0.0, "density_g_cm3": 6.08, "dft_energy_ha_per_atom": -0.25715, "space_group": "P3m1, No. 156", "formation_energy_uncorrected_ev_per_atom": -0.808}